# 1
## TeRh3Cl (PBE)

Data for an optimized crystal structure of TeRh3Cl.

Values from the calculation:
**Polymorph energy (0 for the lowest one)**: 0.000 eV/atom
**DOS at the Fermi energy**: 7.49 states/eV/cell
**Spin magnetization**: 0.0 μB per cell
**Volume**: 18.3 Å³ per atom
**Symmetry**: Pm-3m (221)
**E_form (uncorrected)**: 665.5 meV/atom

POSCAR file:
```
TeRh3Cl
1.0
4.505 0.000 0.000
0.000 4.505 0.000
0.000 0.000 4.505
Te Rh Cl
1 3 1
Direct
0.000 0.000 0.000
0.000 0.500 0.500
0.500 0.000 0.500
0.500 0.500 0.000
0.500 0.500 0.500
```

---

# 2
## KPmS2 (PBE)

Data for an optimized crystal structure of KPmS2.

Values from the calculation:
**DOS at the Fermi energy**: 0.00 states/eV/cell
**Spin magnetization**: 0.0 μB per cell
**Volume**: 27.8 Å³ per atom
**Symmetry**: R-3m (166)
**E_form (uncorrected)**: -1862.8 meV/atom

POSCAR file:
```
KPmS2
1.0
2.083 1.202 7.393
-2.083 1.202 7.393
0.000 -2.405 7.393
K Pm S
1 1 2
Direct
0.000 0.000 0.000
0.500 0.500 0.500
0.235 0.235 0.235
0.765 0.765 0.765
```